The following is a GGA-PBE calculation of an optimized crystal structure of Tm2Si3Ir, from Alexandria via LeMat-Bulk.

The structure belongs to space group Fmmm (No. 69); the cell edges are 7.9240, 8.1180 and 14.0514 Å and the angles 90.00°, 90.00° and 90.00°. The asymmetric unit holds Tm at (0.2464, 0.0000, 0.0000), Tm at (0.2500, 0.2500, 0.2500), Si at (0.0000, 0.0000, 0.3331), Si at (0.0000, 0.2485, 0.4166) and Ir at (0.0000, 0.0000, 0.1660).

Its distance to the lowest polymorph of the same formula is 0.000 eV per formula unit. Its crystal system is orthorhombic. Its formation energy (no corrections) is -900 meV per atom.